Run w
Entry from Alexandria: crystalline Tb3InTc at its relaxed geometry (PBE).

Cell and atoms, written as POSCAR:
```
Tb3InTc
1.0
6.343 -2.682 0.000
6.343 2.682 0.000
-3.466 0.000 7.870
Tb In Tc
6 2 2
Direct
0.078 0.078 0.235 Tb
0.213 0.213 0.721 Tb
0.413 0.413 0.119 Tb
0.587 0.587 0.881 Tb
0.787 0.787 0.279 Tb
0.922 0.922 0.765 Tb
0.378 0.378 0.502 In
0.622 0.622 0.498 In
0.183 0.183 0.019 Tc
0.817 0.817 0.981 Tc
```

Output
V	26.8	Å³/atom
ρ	8.551	g/cm³
DOS at the Fermi energy	7.45	states/eV/cell
crystal system	monoclinic

---

Run x
Entry from Alexandria: crystalline Tb3InTc at its relaxed geometry (PBE).

Cell and atoms, written as POSCAR:
```
Tb3InTc
1.0
0.000 4.849 8.029
3.343 0.000 8.029
3.343 4.849 0.000
Tb In Tc
6 2 2
Direct
0.198 0.583 0.417 Tb
0.201 0.201 0.799 Tb
0.417 0.802 0.198 Tb
0.583 0.198 0.802 Tb
0.799 0.799 0.201 Tb
0.802 0.417 0.583 Tb
0.206 0.794 0.794 In
0.794 0.206 0.206 In
0.250 0.250 0.250 Tc
0.750 0.750 0.750 Tc
```

Output
V	26.0	Å³/atom
ρ	8.798	g/cm³
DOS at the Fermi energy	7.83	states/eV/cell
crystal system	orthorhombic

---

Energy ordering: run x at the bottom, the next structure 8.3 kJ/mol of atoms above.